1.
The following is a PBE calculation of crystalline RbThSn at its relaxed geometry, from Alexandria via LeMat-Bulk.

Structure (CIF):
```
data_RbThSn
_chemical_formula_sum 'Rb2 Th2 Sn2'
_space_group_name_H-M_alt 'P 1'
_space_group_IT_number 1
_cell_length_a 5.6656
_cell_length_b 5.6656
_cell_length_c 12.6451
_cell_angle_alpha 101.83
_cell_angle_beta 101.83
_cell_angle_gamma 45.49
loop_
_space_group_symop_operation_xyz
'x,y,z'
loop_
_atom_site_label
_atom_site_fract_x
_atom_site_fract_y
_atom_site_fract_z
Rb1 0.1733 0.1733 0.1685
Rb2 0.8267 0.8267 0.8315
Th1 0.1436 0.1436 0.5514
Th2 0.8564 0.8564 0.4486
Sn1 0.4627 0.4627 0.6457
Sn2 0.5373 0.5373 0.3543
```

Calculated values
Its uncorrected energy is -25.50 eV/cell. The density of states at the Fermi level comes out at 2.1 states/eV/f.u.

***

2.
The following is a PBE calculation of crystalline RbTi3Sn at its relaxed geometry, from Alexandria via LeMat-Bulk.

Structure (CIF):
```
data_RbTi3Sn
_chemical_formula_sum 'Rb1 Ti3 Sn1'
_space_group_name_H-M_alt 'P 1'
_space_group_IT_number 1
_cell_length_a 5.4130
_cell_length_b 5.4130
_cell_length_c 5.4130
_cell_angle_alpha 90.00
_cell_angle_beta 90.00
_cell_angle_gamma 90.00
loop_
_space_group_symop_operation_xyz
'x,y,z'
loop_
_atom_site_label
_atom_site_fract_x
_atom_site_fract_y
_atom_site_fract_z
Rb1 0.0000 0.0000 0.0000
Ti1 0.0000 0.5000 0.5000
Ti2 0.5000 0.0000 0.5000
Ti3 0.5000 0.5000 0.0000
Sn1 0.5000 0.5000 0.5000
```

Calculated values
The polymorph energy (0 for the lowest one) is 0.000 eV per atom. The density of states at the Fermi level comes out at 9.3 states/eV/f.u.

***

3.
The following is a PBE calculation of crystalline RbTi3Sn at its relaxed geometry, from Alexandria via LeMat-Bulk.

Structure (CIF):
```
data_RbTi3Sn
_chemical_formula_sum 'Rb1 Ti3 Sn1'
_space_group_name_H-M_alt 'P 1'
_space_group_IT_number 1
_cell_length_a 4.7280
_cell_length_b 4.7280
_cell_length_c 4.7280
_cell_angle_alpha 90.00
_cell_angle_beta 90.00
_cell_angle_gamma 90.00
loop_
_space_group_symop_operation_xyz
'x,y,z'
loop_
_atom_site_label
_atom_site_fract_x
_atom_site_fract_y
_atom_site_fract_z
Rb1 0.0000 0.0000 0.0000
Ti1 0.0000 0.0000 0.5000
Ti2 0.0000 0.5000 0.0000
Ti3 0.5000 0.0000 0.0000
Sn1 0.5000 0.5000 0.5000
```

Calculated values
The polymorph energy (0 for the lowest one) is 0.741 eV per atom. The density of states at the Fermi level comes out at 4.5 states/eV/f.u.

***

4.
The following is a PBE calculation of crystalline Rb3TiSn at its relaxed geometry, from Alexandria via LeMat-Bulk.

Structure (CIF):
```
data_Rb3TiSn
_chemical_formula_sum 'Rb3 Ti1 Sn1'
_space_group_name_H-M_alt 'P 1'
_space_group_IT_number 1
_cell_length_a 6.7903
_cell_length_b 6.7903
_cell_length_c 6.7903
_cell_angle_alpha 90.00
_cell_angle_beta 90.00
_cell_angle_gamma 90.00
loop_
_space_group_symop_operation_xyz
'x,y,z'
loop_
_atom_site_label
_atom_site_fract_x
_atom_site_fract_y
_atom_site_fract_z
Rb1 0.0000 0.0000 0.5000
Rb2 0.0000 0.5000 0.0000
Rb3 0.5000 0.0000 0.0000
Ti1 0.0000 0.0000 0.0000
Sn1 0.5000 0.5000 0.5000
```

Calculated values
Its uncorrected energy is -9.39 eV/cell. The density of states at the Fermi level comes out at 5.9 states/eV/f.u.

***

5.
The following is a PBE calculation of crystalline Rb2TiSn at its relaxed geometry, from Alexandria via LeMat-Bulk.

Structure (CIF):
```
data_Rb2TiSn
_chemical_formula_sum 'Rb4 Ti2 Sn2'
_space_group_name_H-M_alt 'P 1'
_space_group_IT_number 1
_cell_length_a 10.0986
_cell_length_b 10.0986
_cell_length_c 10.0986
_cell_angle_alpha 94.17
_cell_angle_beta 94.17
_cell_angle_gamma 148.71
loop_
_space_group_symop_operation_xyz
'x,y,z'
loop_
_atom_site_label
_atom_site_fract_x
_atom_site_fract_y
_atom_site_fract_z
Rb1 0.3750 0.0484 0.1734
Rb2 0.7984 0.6250 0.6734
Rb3 0.8750 0.2016 0.8266
Rb4 0.9516 0.1250 0.3266
Ti1 0.2500 0.7500 0.5000
Ti2 0.5000 0.5000 0.0000
Sn1 0.0000 0.0000 0.0000
Sn2 0.7500 0.2500 0.5000
```

Calculated values
Its uncorrected energy is -23.62 eV/cell. The density of states at the Fermi level comes out at 0.2 states/eV/f.u.

***

6.
The following is a PBE calculation of crystalline Rb4Ti2Sn at its relaxed geometry, from Alexandria via LeMat-Bulk.

Structure (CIF):
```
data_Rb4Ti2Sn
_chemical_formula_sum 'Rb4 Ti2 Sn1'
_space_group_name_H-M_alt 'P 1'
_space_group_IT_number 1
_cell_length_a 10.0027
_cell_length_b 10.0027
_cell_length_c 10.0027
_cell_angle_alpha 136.93
_cell_angle_beta 136.93
_cell_angle_gamma 62.54
loop_
_space_group_symop_operation_xyz
'x,y,z'
loop_
_atom_site_label
_atom_site_fract_x
_atom_site_fract_y
_atom_site_fract_z
Rb1 0.0000 0.5000 0.5000
Rb2 0.2099 0.2099 0.0000
Rb3 0.5000 0.0000 0.5000
Rb4 0.7901 0.7901 0.0000
Ti1 0.4414 0.4414 0.0000
Ti2 0.5586 0.5586 0.0000
Sn1 0.0000 0.0000 0.0000
```

Calculated values
Its uncorrected energy is -17.12 eV/cell. The density of states at the Fermi level comes out at 7.6 states/eV/f.u.

***

Q: Look up the density of states at the Fermi level of the fourth one.
A: 5.9 states/eV/f.u.

***

Q: The highest density of states at the Fermi level belongs to which entry?
A: number 2